This record from the Alexandria database describes a relaxed K2LiTaF6 crystal. The functional is PBE.

Results
uncorrected formation energy	-2.737	eV/atom
magnetization	2.0	μB per formula unit
space group	No. 71
Fermi-level density of states	0.6	states/eV/cell
calculated density	4313	kg/m³
E_tot	-5.46	eV per atom

Lattice parameters (Å, degrees): 5.908 5.908 5.908 122.85 116.13 90.98
Positions (direct):
K: 0.247 0.247 0.000
K: 0.753 0.753 0.000
Li: 0.000 0.500 0.500
Ta: 0.500 0.000 0.500
F: 0.235 0.230 0.465
F: 0.235 0.770 0.006
F: 0.250 0.750 0.500
F: 0.750 0.250 0.500
F: 0.765 0.230 0.994
F: 0.765 0.770 0.535

=====

This record from the Alexandria database describes a relaxed Mo2SI crystal. The functional is PBE.

Results
uncorrected formation energy	0.442	eV/atom
magnetization	0.0	μB per formula unit
space group	No. 122
Fermi-level density of states	7.6	states/eV/cell
calculated density	7040	kg/m³
E_tot	-6.39	eV per atom

Lattice parameters (Å, degrees): 8.502 8.502 8.502 148.68 148.68 44.88
Positions (direct):
Mo: 0.037 0.625 0.912
Mo: 0.375 0.287 0.412
Mo: 0.713 0.125 0.088
Mo: 0.875 0.963 0.588
S: 0.000 0.000 0.000
S: 0.750 0.250 0.500
I: 0.250 0.750 0.500
I: 0.500 0.500 0.000

=====

This record from the Alexandria database describes a relaxed Ce6In2Ru crystal. The functional is PBE.

Results
magnetization	1.8	μB per formula unit
space group	No. 12
DFT formation energy	-23	kJ per mole of atoms
Fermi-level density of states	20.9	states/eV/cell
calculated density	8110	kg/m³
E_tot	-5.83	eV per atom

Lattice parameters (Å, degrees): 6.966 6.966 6.979 120.00 120.00 60.19
Positions (direct):
Ce: 0.226 0.226 0.227
Ce: 0.228 0.770 0.772
Ce: 0.230 0.772 0.228
Ce: 0.770 0.228 0.772
Ce: 0.772 0.230 0.228
Ce: 0.774 0.774 0.773
In: 0.249 0.249 0.750
In: 0.751 0.751 0.250
Ru: 0.500 0.500 0.500

=====

This record from the Alexandria database describes a relaxed AcEr3Tl crystal. The functional is PBE.

Results
magnetization	0.0	μB per formula unit
space group	No. 63
DFT formation energy	8	kJ per mole of atoms
Fermi-level density of states	15.6	states/eV/cell
calculated density	8900	kg/m³
E_tot	-3.95	eV per atom

Lattice parameters (Å, degrees): 7.971 7.971 6.323 90.00 90.00 119.92
Positions (direct):
Ac: 0.167 0.833 0.750
Ac: 0.833 0.167 0.250
Er: 0.117 0.307 0.750
Er: 0.307 0.117 0.250
Er: 0.309 0.691 0.250
Er: 0.691 0.309 0.750
Er: 0.693 0.883 0.750
Er: 0.883 0.693 0.250
Tl: 0.500 0.500 0.000
Tl: 0.500 0.500 0.500

=====

This record from the Alexandria database describes a relaxed Ce2Pu2SiIr4 crystal. The functional is PBE.

Results
uncorrected formation energy	-0.423	eV/atom
magnetization	12.2	μB per formula unit
space group	No. 139
Fermi-level density of states	15.9	states/eV/cell
calculated density	14222	kg/m³
E_tot	-9.47	eV per atom

Lattice parameters (Å, degrees): 6.437 6.437 6.437 121.93 121.93 86.69
Positions (direct):
Ce: 0.250 0.750 0.500
Ce: 0.750 0.250 0.500
Pu: 0.198 0.198 0.000
Pu: 0.802 0.802 0.000
Si: 0.500 0.500 0.000
Ir: 0.238 0.238 0.476
Ir: 0.238 0.762 0.000
Ir: 0.762 0.238 0.000
Ir: 0.762 0.762 0.524

=====

This record from the Alexandria database describes a relaxed NaGaTe2 crystal. The functional is PBE.

Results
uncorrected formation energy	-0.210	eV/atom
magnetization	0.0	μB per formula unit
space group	No. 63
Fermi-level density of states	2.9	states/eV/cell
calculated density	4309	kg/m³
E_tot	-2.87	eV per atom

Lattice parameters (Å, degrees): 10.801 10.801 6.199 90.00 90.00 158.24
Positions (direct):
Na: 0.060 0.940 0.750
Na: 0.940 0.060 0.250
Ga: 0.324 0.676 0.750
Ga: 0.676 0.324 0.250
Te: 0.091 0.909 0.250
Te: 0.205 0.795 0.750
Te: 0.795 0.205 0.250
Te: 0.909 0.091 0.750

=====

This record from the Alexandria database describes a relaxed ZnIn2As crystal. The functional is PBE.

Results
magnetization	0.0	μB per formula unit
space group	No. 12
DFT formation energy	13	kJ per mole of atoms
Fermi-level density of states	1.5	states/eV/cell
calculated density	6824	kg/m³
E_tot	-2.72	eV per atom

Lattice parameters (Å, degrees): 4.920 4.920 3.820 91.89 91.89 102.90
Positions (direct):
Zn: 0.000 0.000 0.000
In: 0.000 0.500 0.500
In: 0.500 0.000 0.500
As: 0.500 0.500 0.000

=====

This record from the Alexandria database describes a relaxed Hf4Pt2N crystal. The functional is PBE.

Results
uncorrected formation energy	-1.121	eV/atom
magnetization	0.0	μB per formula unit
space group	No. 139
Fermi-level density of states	1.7	states/eV/cell
calculated density	14556	kg/m³
E_tot	-9.72	eV per atom

Lattice parameters (Å, degrees): 7.476 7.476 7.476 146.38 146.38 48.29
Positions (direct):
Hf: 0.000 0.500 0.500
Hf: 0.178 0.178 0.000
Hf: 0.500 0.000 0.500
Hf: 0.822 0.822 0.000
Pt: 0.366 0.366 0.000
Pt: 0.634 0.634 0.000
N: 0.000 0.000 0.000

=====

- Among the records above, which one has the highest magnetization?
  Ce2Pu2SiIr4